Entry from the Alexandria database: a geometry-optimized TePtAu2 structure (PBE).

Values from the calculation:
Its density is 13.187 Mg/m³. The energy relative to the elements, uncorrected comes out at 0.02 eV/atom. As for the total energy: -31.3 eV per cell. The density of states at the Fermi level is 0.331 states/eV per atom.

Lattice parameters (Å, degrees): 8.754 3.649 5.914 90.00 107.21 90.00
Positions (direct):
Te: 0.000 0.000 0.000
Te: 0.500 0.500 0.000
Pt: 0.342 0.000 0.716
Pt: 0.842 0.500 0.716
Au: 0.102 0.500 0.534
Au: 0.341 0.500 0.322
Au: 0.602 0.000 0.534
Au: 0.841 0.000 0.322